# Sr3Sn5Ir6 (GGA-PBE, relaxed)
# Size of the total moment, μB per cell: 0.00
# V, A^3/atom: 22.87
# Electronic total energy, Ha/atom: -0.2197
# Crystal system: orthorhombic
data_Sr3Sn5Ir6
_space_group_name_H-M_alt 'P m m n'
_space_group_IT_number 59
_cell_length_a 4.4104
_cell_length_b 13.0378
_cell_length_c 11.1353
_cell_angle_alpha 90.00
_cell_angle_beta 90.00
_cell_angle_gamma 90.00
loop_
_space_group_symop_operation_xyz
'x,y,z'
'-x,-y,-z'
'-x+1/2,-y+1/2,z'
'x+1/2,y+1/2,-z'
'x+1/2,-y,-z'
'-x+1/2,y,z'
'-x,y+1/2,-z'
'x,-y+1/2,z'
loop_
_atom_site_label
_atom_site_type_symbol
_atom_site_fract_x
_atom_site_fract_y
_atom_site_fract_z
Sr1 Sr 0.2500 0.0882 0.2460
Sr2 Sr 0.2500 0.7500 0.2467
Sn1 Sn 0.2500 0.0778 0.6415
Sn2 Sn 0.2500 0.6138 0.9836
Sn3 Sn 0.2500 0.7500 0.6169
Ir1 Ir 0.2500 0.0735 0.8795
Ir2 Ir 0.2500 0.2500 0.5144
Ir3 Ir 0.2500 0.2500 0.9934
Ir4 Ir 0.2500 0.5799 0.4908

# SrSn3Ir2 (GGA-PBE, relaxed)
# Size of the total moment, μB per cell: 0.00
# V, A^3/atom: 25.25
# Electronic total energy, Ha/atom: -0.2017
# Crystal system: monoclinic
data_SrSn3Ir2
_space_group_name_H-M_alt 'P 1 21/m 1'
_space_group_IT_number 11
_cell_length_a 5.3653
_cell_length_b 4.7100
_cell_length_c 12.0310
_cell_angle_alpha 90.00
_cell_angle_beta 94.65
_cell_angle_gamma 90.00
loop_
_space_group_symop_operation_xyz
'x,y,z'
'-x,-y,-z'
'-x,y+1/2,-z'
'x,-y+1/2,z'
loop_
_atom_site_label
_atom_site_type_symbol
_atom_site_fract_x
_atom_site_fract_y
_atom_site_fract_z
Sr1 Sr 0.0575 0.2500 0.2605
Sn1 Sn 0.1768 0.2500 0.9673
Sn2 Sn 0.3112 0.7500 0.4761
Sn3 Sn 0.4393 0.2500 0.7490
Ir1 Ir 0.1802 0.2500 0.5601
Ir2 Ir 0.3250 0.7500 0.0560

# Sr3SnIr (GGA-PBE, relaxed)
# Size of the total moment, μB per cell: 0.02
# V, A^3/atom: 37.68
# Electronic total energy, Ha/atom: -0.1388
# Crystal system: cubic
# E above lowest polymorph, eV per atom: 0.000
data_Sr3SnIr
_space_group_name_H-M_alt 'P m -3 m'
_space_group_IT_number 221
_space_group_name_Hall '-P 4 2 3'
_cell_length_a 5.7325
_cell_length_b 5.7325
_cell_length_c 5.7325
_cell_angle_alpha 90.00
_cell_angle_beta 90.00
_cell_angle_gamma 90.00
loop_
_atom_site_label
_atom_site_type_symbol
_atom_site_fract_x
_atom_site_fract_y
_atom_site_fract_z
Sr1 Sr 0.0000 0.0000 0.5000
Sn1 Sn 0.5000 0.5000 0.5000
Ir1 Ir 0.0000 0.0000 0.0000

# Sr2Sn6Ir (GGA-PBE, relaxed)
# Size of the total moment, μB per cell: 0.00
# V, A^3/atom: 29.18
# Electronic total energy, Ha/atom: -0.1615
# Crystal system: orthorhombic
data_Sr2Sn6Ir
_space_group_name_H-M_alt 'A m m 2'
_space_group_IT_number 38
_cell_length_a 4.6489
_cell_length_b 4.4892
_cell_length_c 25.1696
_cell_angle_alpha 90.00
_cell_angle_beta 90.00
_cell_angle_gamma 90.00
loop_
_space_group_symop_operation_xyz
'x,y,z'
'-x,-y,z'
'-x,y,z'
'x,-y,z'
'x,y+1/2,z+1/2'
'-x,-y+1/2,z+1/2'
'-x,y+1/2,z+1/2'
'x,-y+1/2,z+1/2'
loop_
_atom_site_label
_atom_site_type_symbol
_atom_site_fract_x
_atom_site_fract_y
_atom_site_fract_z
Sr1 Sr 0.0000 0.0000 0.0000
Sr2 Sr 0.0000 0.0000 0.3344
Sn1 Sn 0.0000 0.0000 0.6095
Sn2 Sn 0.0000 0.0000 0.7249
Sn3 Sn 0.5000 0.0000 0.1056
Sn4 Sn 0.5000 0.0000 0.2219
Sn5 Sn 0.5000 0.0000 0.4555
Sn6 Sn 0.5000 0.0000 0.8838
Ir1 Ir 0.5000 0.0000 0.7797

# SrSn2Ir (GGA-PBE, relaxed)
# Size of the total moment, μB per cell: 0.00
# V, A^3/atom: 24.57
# Electronic total energy, Ha/atom: -0.1887
# Crystal system: orthorhombic
data_SrSn2Ir
_space_group_name_H-M_alt 'P n m a'
_space_group_IT_number 62
_cell_length_a 16.6409
_cell_length_b 7.6365
_cell_length_c 6.1879
_cell_angle_alpha 90.00
_cell_angle_beta 90.00
_cell_angle_gamma 90.00
loop_
_space_group_symop_operation_xyz
'x,y,z'
'-x,-y,-z'
'-x+1/2,-y,z+1/2'
'x+1/2,y,-z+1/2'
'x+1/2,-y+1/2,-z+1/2'
'-x+1/2,y+1/2,z+1/2'
'-x,y+1/2,-z'
'x,-y+1/2,z'
loop_
_atom_site_label
_atom_site_type_symbol
_atom_site_fract_x
_atom_site_fract_y
_atom_site_fract_z
Sr1 Sr 0.1048 0.2500 0.2267
Sr2 Sr 0.1401 0.7500 0.0118
Sn1 Sn 0.0391 0.0507 0.7277
Sn2 Sn 0.2120 0.5510 0.5036
Ir1 Ir 0.0735 0.7500 0.4966
Ir2 Ir 0.1790 0.2500 0.7439

# SrSn12Ir4 (GGA-PBE, relaxed)
# Size of the total moment, μB per cell: 0.00
# V, A^3/atom: 25.39
# Electronic total energy, Ha/atom: -0.1916
# Crystal system: cubic
data_SrSn12Ir4
_space_group_name_H-M_alt 'I m -3'
_space_group_IT_number 204
_space_group_name_Hall '-I 2 2 3'
_cell_length_a 9.5212
_cell_length_b 9.5212
_cell_length_c 9.5212
_cell_angle_alpha 90.00
_cell_angle_beta 90.00
_cell_angle_gamma 90.00
loop_
_atom_site_label
_atom_site_type_symbol
_atom_site_fract_x
_atom_site_fract_y
_atom_site_fract_z
Sr1 Sr 0.0000 0.0000 0.0000
Sn1 Sn 0.0000 0.1626 0.3404
Ir1 Ir 0.2500 0.2500 0.2500